## TiHgWO6 (PBE+U)

Data for an optimized crystal structure of TiHgWO6.

Output
Total energy: -6.75 eV per atom
Total moment: 0.000 μB/atom

Unit cell a=7.3234 b=7.4669 c=10.2458 alpha=90.00 beta=90.00 gamma=90.00
Space group Imma (No. 74)
Asymmetric unit:
Ti 0.0000 0.0000 0.0000 [4 per cell]
Hg 0.0000 0.2500 0.2807 [4 per cell]
W 0.2500 0.2500 0.7500 [4 per cell]
O 0.0000 0.2500 0.0736 [4 per cell]
O 0.0000 0.2500 0.6849 [4 per cell]
O 0.1847 0.0652 0.8735 [16 per cell]